A plane-wave DFT calculation with PBE was carried out for a relaxed structure of AlSnBi.

Computed properties:
- Relative energy among the computed polymorphs: 0.000 eV per atom

a = 4.9704 Å, b = 4.9704 Å, c = 4.9704 Å
α = 60.00°, β = 60.00°, γ = 60.00°
With the nearest neighbours (Å) after each atom.
Sites, in units of the cell vectors:
Al: 0.2500 0.2500 0.2500  4 Bi 3.04, 4 Sn 3.04
Bi: 0.5000 0.5000 0.5000  4 Al 3.04
Sn: 0.0000 0.0000 0.0000  4 Al 3.04